Record 1
VASP calculation (PBE) on InCo4Hg after structural relaxation.

a = 4.9463 Å, b = 4.9463 Å, c = 4.9463 Å
α = 60.00°, β = 60.00°, γ = 60.00°
With the nearest neighbours (Å) after each atom.
Element x y z (fractional)
In 0.0000 0.0000 0.0000  12 Co 2.90, 4 Hg 3.03
Co 0.1243 0.6252 0.6252  6 Co 2.47-2.48
Co 0.6252 0.1243 0.6252  6 Co 2.47-2.48
Co 0.6252 0.6252 0.1243  6 Co 2.47-2.48
Co 0.6252 0.6252 0.6252  6 Co 2.47-2.48
Hg 0.2500 0.2500 0.2500  12 Co 2.90, 4 In 3.03

Summary:
ΔH_f (0 K)   0.28 eV per atom
Density   10.7 g/cm3
Volume   14.3 Å³/atom
Electronic total energy   -4.961 eV per atom

***

Record 2
VASP calculation (PBE) on In2CoHg after structural relaxation.

a = 3.1698 Å, b = 3.1698 Å, c = 8.3112 Å
α = 90.00°, β = 90.00°, γ = 90.00°
With the nearest neighbours (Å) after each atom.
Element x y z (fractional)
In 0.0000 0.0000 0.0000  8 In 3.17-3.46, 4 Hg 3.36
In 0.5000 0.5000 0.3172  4 Co 2.69
Co 0.0000 0.0000 0.4971  4 In 2.69, 4 Hg 2.80
Hg 0.5000 0.5000 0.6990  4 Co 2.80

Summary:
ΔH_f (0 K)   0.25 eV per atom
Density   9.7 g/cm3
Volume   20.9 Å³/atom
Electronic total energy   -2.973 eV per atom

***

Record 3
VASP calculation (PBE) on In4CoHg after structural relaxation.

a = 5.9960 Å, b = 5.9960 Å, c = 5.9960 Å
α = 60.00°, β = 60.00°, γ = 60.00°
With the nearest neighbours (Å) after each atom.
Element x y z (fractional)
In 0.1247 0.1247 0.1247  6 In 2.99-3.01
In 0.1247 0.1247 0.6260  6 In 2.99-3.01
In 0.1247 0.6260 0.1247  6 In 2.99-3.01
In 0.6260 0.1247 0.1247  6 In 2.99-3.01
Co 0.7500 0.7500 0.7500  12 In 3.51, 4 Hg 3.67
Hg 0.5000 0.5000 0.5000  12 In 3.52, 4 Co 3.67

Summary:
ΔH_f (0 K)   0.58 eV per atom
Density   7.8 g/cm3
Volume   25.4 Å³/atom
Electronic total energy   -2.480 eV per atom

***

Record 4
VASP calculation (PBE) on In2CoHg after structural relaxation.

a = 4.3916 Å, b = 4.3916 Å, c = 4.1309 Å
α = 90.00°, β = 90.00°, γ = 90.00°
With the nearest neighbours (Å) after each atom.
Element x y z (fractional)
In 0.0000 0.5000 0.0000  4 Hg 3.01, 4 Co 3.01, 4 In 3.11
In 0.5000 0.0000 0.0000  4 Hg 3.01, 4 Co 3.01, 4 In 3.11
Co 0.0000 0.0000 0.5000  8 In 3.01, 4 Hg 3.11
Hg 0.5000 0.5000 0.5000  8 In 3.01, 4 Co 3.11

Summary:
ΔH_f (0 K)   0.37 eV per atom
Density   10.2 g/cm3
Volume   19.9 Å³/atom
Electronic total energy   -2.849 eV per atom

***

Record 5
VASP calculation (PBE) on In2CoHg after structural relaxation.

a = 3.1051 Å, b = 3.1051 Å, c = 8.5389 Å
α = 90.00°, β = 90.00°, γ = 90.00°
With the nearest neighbours (Å) after each atom.
Element x y z (fractional)
In 0.0000 0.0000 0.1876  4 Co 2.72
In 0.0000 0.0000 0.8124  4 Co 2.72
Co 0.5000 0.5000 0.0000  8 In 2.72
Hg 0.5000 0.5000 0.5000  4 Hg 3.11, 8 In 3.45

Summary:
ΔH_f (0 K)   0.16 eV per atom
Density   9.9 g/cm3
Volume   20.6 Å³/atom
Electronic total energy   -3.063 eV per atom

***

Record 6
VASP calculation (PBE) on In2CoHg after structural relaxation.

a = 3.5559 Å, b = 3.8561 Å, c = 5.8864 Å
α = 90.00°, β = 90.00°, γ = 90.00°
With the nearest neighbours (Å) after each atom.
Element x y z (fractional)
In 0.0000 0.0000 0.0000  2 Co 2.80-3.08, 4 Hg 2.98
In 0.5000 0.5000 0.2958  1 Hg 2.73, 4 Co 2.83
Co 0.0000 0.0000 0.4762  6 In 2.80-3.08, 4 Hg 3.11
Hg 0.5000 0.5000 0.7598  5 In 2.73-2.98

Summary:
ΔH_f (0 K)   0.31 eV per atom
Density   10.1 g/cm3
Volume   20.2 Å³/atom
Electronic total energy   -2.907 eV per atom

***

Record 7
VASP calculation (PBE) on In2CoHg after structural relaxation.

a = 2.9379 Å, b = 4.3913 Å, c = 12.9635 Å
α = 90.00°, β = 90.00°, γ = 90.00°
With the nearest neighbours (Å) after each atom.
Element x y z (fractional)
In 0.0000 0.0000 0.0000  2 Co 2.69, 2 In 2.94
In 0.0000 0.5000 0.1839  4 Co 2.64, 2 In 2.94
In 0.5000 0.0000 0.6839  4 Co 2.64, 2 In 2.94
In 0.5000 0.5000 0.5000  2 Co 2.69, 2 In 2.94
Co 0.0000 0.5000 0.6741  6 In 2.64-2.69, 2 Hg 2.82, 2 Co 2.94
Co 0.5000 0.0000 0.1741  6 In 2.64-2.69, 2 Hg 2.82, 2 Co 2.94
Hg 0.0000 0.0000 0.3595  2 Co 2.82, 2 Hg 2.94
Hg 0.5000 0.5000 0.8595  2 Co 2.82, 2 Hg 2.94

Summary:
ΔH_f (0 K)   0.11 eV per atom
Density   9.7 g/cm3
Volume   20.9 Å³/atom
Electronic total energy   -3.111 eV per atom

***

Record 8
VASP calculation (PBE) on InCo2Hg2 after structural relaxation.

a = 6.6247 Å, b = 6.6247 Å, c = 4.0346 Å
α = 90.00°, β = 90.00°, γ = 90.00°
With the nearest neighbours (Å) after each atom.
Element x y z (fractional)
In 0.0000 0.0000 0.0000  4 Co 2.62
In 0.5000 0.5000 0.0000  4 Co 2.62
Co 0.1246 0.3754 0.0000  1 Co 2.34
Co 0.3754 0.8754 0.0000  1 Co 2.34
Co 0.6246 0.1246 0.0000  1 Co 2.34
Co 0.8754 0.6246 0.0000  1 Co 2.34
Hg 0.1684 0.6684 0.5000  6 Co 2.80-2.81
Hg 0.3316 0.1684 0.5000  6 Co 2.80-2.81
Hg 0.6684 0.8316 0.5000  6 Co 2.80-2.81
Hg 0.8316 0.3316 0.5000  6 Co 2.80-2.81

Summary:
ΔH_f (0 K)   0.32 eV per atom
Density   11.9 g/cm3
Volume   17.7 Å³/atom
Electronic total energy   -3.195 eV per atom
Energy above the most stable polymorph in this dataset   0 meV/atom

***

Record 9
VASP calculation (PBE) on In2CoHg after structural relaxation.

a = 5.9207 Å, b = 7.7872 Å, c = 3.5103 Å
α = 90.00°, β = 90.26°, γ = 90.00°
With the nearest neighbours (Å) after each atom.
Element x y z (fractional)
In 0.2500 0.2500 0.0000  2 In 2.96, 4 Hg 3.01, 4 Co 3.01
In 0.2500 0.7500 0.0000  2 In 2.96, 4 Hg 3.01, 4 Co 3.01
In 0.7500 0.2500 0.0000  2 In 2.96, 4 Hg 3.01, 4 Co 3.01
In 0.7500 0.7500 0.0000  2 In 2.96, 4 Hg 3.01, 4 Co 3.01
Co 0.0000 0.0000 0.5000  2 Hg 2.96, 8 In 3.01
Co 0.5000 0.5000 0.5000  2 Hg 2.96, 8 In 3.01
Hg 0.0000 0.5000 0.5000  2 Co 2.96, 8 In 3.01
Hg 0.5000 0.0000 0.5000  2 Co 2.96, 8 In 3.01

Summary:
ΔH_f (0 K)   0.35 eV per atom
Density   10.0 g/cm3
Volume   20.2 Å³/atom
Electronic total energy   -2.867 eV per atom

***

Record 10
VASP calculation (PBE) on In2CoHg after structural relaxation.

a = 3.2392 Å, b = 3.2392 Å, c = 27.7420 Å
α = 90.00°, β = 90.00°, γ = 120.00°
With the nearest neighbours (Å) after each atom.
Element x y z (fractional)
In 0.0000 0.0000 0.0000  3 Co 2.64
In 0.0000 0.0000 0.2348  9 In 3.24-3.31, 3 Hg 3.26
In 0.3333 0.6667 0.6667  3 Co 2.64
In 0.3333 0.6667 0.9015  9 In 3.24-3.31, 3 Hg 3.26
In 0.6667 0.3333 0.3333  3 Co 2.64
In 0.6667 0.3333 0.5682  9 In 3.24-3.31, 3 Hg 3.26
Co 0.0000 0.0000 0.7339  3 In 2.64, 3 Hg 2.72
Co 0.3333 0.6667 0.4006  3 In 2.64, 3 Hg 2.72
Co 0.6667 0.3333 0.0672  3 In 2.64, 3 Hg 2.72
Hg 0.0000 0.0000 0.4719  3 Co 2.72
Hg 0.3333 0.6667 0.1386  3 Co 2.72
Hg 0.6667 0.3333 0.8053  3 Co 2.72

Summary:
ΔH_f (0 K)   0.28 eV per atom
Density   9.7 g/cm3
Volume   21.0 Å³/atom
Electronic total energy   -2.943 eV per atom

***

Record 11
VASP calculation (PBE) on In2CoHg after structural relaxation.

a = 6.9486 Å, b = 6.9486 Å, c = 6.9486 Å
α = 90.00°, β = 90.00°, γ = 90.00°
With the nearest neighbours (Å) after each atom.
Element x y z (fractional)
In 0.0000 0.0000 0.0000  4 Co 3.01, 4 In 3.01
In 0.0000 0.5000 0.5000  4 Co 3.01, 4 In 3.01
In 0.2500 0.2500 0.2500  4 Hg 3.01, 4 In 3.01
In 0.2500 0.7500 0.7500  4 Hg 3.01, 4 In 3.01
In 0.5000 0.0000 0.5000  4 Co 3.01, 4 In 3.01
In 0.5000 0.5000 0.0000  4 Co 3.01, 4 In 3.01
In 0.7500 0.2500 0.7500  4 Hg 3.01, 4 In 3.01
In 0.7500 0.7500 0.2500  4 Hg 3.01, 4 In 3.01
Co 0.2500 0.2500 0.7500  4 Hg 3.01, 4 In 3.01
Co 0.2500 0.7500 0.2500  4 Hg 3.01, 4 In 3.01
Co 0.7500 0.2500 0.2500  4 Hg 3.01, 4 In 3.01
Co 0.7500 0.7500 0.7500  4 Hg 3.01, 4 In 3.01
Hg 0.0000 0.0000 0.5000  4 In 3.01, 4 Co 3.01
Hg 0.0000 0.5000 0.0000  4 In 3.01, 4 Co 3.01
Hg 0.5000 0.0000 0.0000  4 In 3.01, 4 Co 3.01
Hg 0.5000 0.5000 0.5000  4 In 3.01, 4 Co 3.01

Summary:
ΔH_f (0 K)   0.47 eV per atom
Density   9.7 g/cm3
Volume   21.0 Å³/atom
Electronic total energy   -2.746 eV per atom

***

Record 12
VASP calculation (PBE) on In2CoHg after structural relaxation.

a = 4.2438 Å, b = 3.0112 Å, c = 7.1035 Å
α = 90.00°, β = 107.31°, γ = 90.00°
With the nearest neighbours (Å) after each atom.
Element x y z (fractional)
In 0.0000 0.0000 0.0000  1 Co 2.60
In 0.3196 0.5000 0.6399  4 Co 2.61
Co 0.8080 0.0000 0.6167  5 In 2.60-2.61, 2 Hg 2.75
Hg 0.6391 0.5000 0.2776  2 Co 2.75, 2 Hg 3.01

Summary:
ΔH_f (0 K)   0.14 eV per atom
Density   9.4 g/cm3
Volume   21.7 Å³/atom
Electronic total energy   -3.078 eV per atom

***

Record 13
VASP calculation (PBE) on In2CoHg after structural relaxation.

a = 2.9476 Å, b = 4.5183 Å, c = 12.9151 Å
α = 90.00°, β = 90.00°, γ = 90.00°
With the nearest neighbours (Å) after each atom.
Element x y z (fractional)
In 0.0000 0.0000 0.1747  2 Co 2.69, 2 In 2.95
In 0.0000 0.0000 0.8253  2 Co 2.69, 2 In 2.95
In 0.5000 0.5000 0.3253  2 Co 2.69, 2 In 2.95
In 0.5000 0.5000 0.6747  2 Co 2.69, 2 In 2.95
Co 0.0000 0.5000 0.5000  4 In 2.69, 4 Hg 2.70, 2 Co 2.95
Co 0.5000 0.0000 0.0000  4 In 2.69, 4 Hg 2.70, 2 Co 2.95
Hg 0.0000 0.5000 0.0000  4 Co 2.70, 2 Hg 2.95
Hg 0.5000 0.0000 0.5000  4 Co 2.70, 2 Hg 2.95

Summary:
ΔH_f (0 K)   0.17 eV per atom
Density   9.4 g/cm3
Volume   21.5 Å³/atom
Electronic total energy   -3.047 eV per atom

***

Record 14
VASP calculation (PBE) on In2CoHg after structural relaxation.

a = 9.0493 Å, b = 3.2349 Å, c = 5.8576 Å
α = 90.00°, β = 103.60°, γ = 90.00°
With the nearest neighbours (Å) after each atom.
Element x y z (fractional)
In 0.2314 0.0000 0.2129  3 Co 2.71-2.98, 1 Hg 2.98
In 0.2686 0.5000 0.7871  3 Co 2.71-2.98, 1 Hg 2.98
In 0.7314 0.5000 0.2129  3 Co 2.71-2.98, 1 Hg 2.98
In 0.7686 0.0000 0.7871  3 Co 2.71-2.98, 1 Hg 2.98
Co 0.0000 0.5000 0.0000  6 In 2.71-2.98
Co 0.5000 0.0000 0.0000  6 In 2.71-2.98
Hg 0.0000 0.0000 0.5000  6 In 2.98-3.07, 2 Hg 3.23
Hg 0.5000 0.5000 0.5000  6 In 2.98-3.07, 2 Hg 3.23

Summary:
ΔH_f (0 K)   0.33 eV per atom
Density   9.7 g/cm3
Volume   20.8 Å³/atom
Electronic total energy   -2.893 eV per atom

***

Record 15
VASP calculation (PBE) on InCo2Hg2 after structural relaxation.

a = 3.3122 Å, b = 3.3122 Å, c = 18.1396 Å
α = 90.00°, β = 90.00°, γ = 90.00°
With the nearest neighbours (Å) after each atom.
Element x y z (fractional)
In 0.0000 0.0000 0.0000  8 Hg 3.27, 4 In 3.31
In 0.5000 0.5000 0.5000  8 Hg 3.27, 4 In 3.31
Co 0.0000 0.5000 0.2500  4 Co 2.34
Co 0.0000 0.5000 0.7500  4 Co 2.34
Co 0.5000 0.0000 0.2500  4 Co 2.34
Co 0.5000 0.0000 0.7500  4 Co 2.34
Hg 0.0000 0.0000 0.3745  4 Co 2.80
Hg 0.0000 0.0000 0.6255  4 Co 2.80
Hg 0.5000 0.5000 0.1255  4 Co 2.80
Hg 0.5000 0.5000 0.8745  4 Co 2.80

Summary:
ΔH_f (0 K)   0.36 eV per atom
Density   10.6 g/cm3
Volume   19.9 Å³/atom
Electronic total energy   -3.154 eV per atom
Energy above the most stable polymorph in this dataset   41 meV/atom